Below is a relaxed CdHPtRh crystal, with properties calculated at the GGA-PBE level.

Results
The value obtained for the density of states at the Fermi level is 8.34 states/eV per cell. The total energy is -4.481 eV/atom.

Lattice parameters (Å, degrees): 12.671 2.906 2.900 90.00 102.88 90.00
Space group Cm (No. 8)
Symmetry-distinct sites (fractional):
Cd (0.000, 0.000, 0.000) [2 per cell]
H (0.314, 0.500, 0.956) [2 per cell]
Pt (0.164, 0.500, 0.659) [2 per cell]
Rh (0.329, 0.000, 0.337) [2 per cell]